Material: La3Sm3Zn2Ga
Method: DFT, PBE-GGA
State: optimized geometry

abc: 4.5246 8.1335 8.1335
angles: 120.00 90.00 90.00
Fractional positions:
Zn 0.5000 0.6667 0.3333
Zn 0.5000 0.3333 0.6667
Ga 0.0000 0.0000 0.0000
Sm 0.0000 0.5952 0.5952
Sm 0.0000 0.0000 0.4048
Sm 0.0000 0.4048 0.0000
La 0.5000 0.2716 0.2716
La 0.5000 0.7284 0.0000
La 0.5000 0.0000 0.7284

## Properties
Volume = 28.8 A^3/atom
Space-group type = P-62m

Material: LaGa2Sn
Method: DFT, PBE-GGA
State: optimized geometry

abc: 4.7254 4.7254 5.8372
angles: 66.12 66.12 60.00
Fractional positions:
Ga 0.7266 0.7266 0.8201
Ga 0.2734 0.2734 0.1799
Sn 0.0000 0.0000 0.0000
La 0.5000 0.5000 0.5000

## Properties
Volume = 24.9 A^3/atom
Space-group type = R-3m

Material: La8GaSn2
Method: DFT, PBE-GGA
State: optimized geometry

abc: 5.3931 7.0752 10.2496
angles: 107.23 105.25 90.00
Fractional positions:
La 0.6547 0.9857 0.3094
La 0.7849 0.6954 0.5698
La 0.2151 0.3046 0.4302
La 0.0054 0.7706 0.0107
La 0.4114 0.5356 0.8228
La 0.5886 0.4644 0.1772
La 0.9946 0.2294 0.9893
La 0.3453 0.0143 0.6906
Sn 0.8271 0.2684 0.6542
Sn 0.1729 0.7316 0.3458
Ga 0.5000 0.0000 0.0000

## Properties
Volume = 32.6 A^3/atom
Space-group type = C2/m

Material: La2Ga2Sn
Method: DFT, PBE-GGA
State: optimized geometry

abc: 7.5378 7.5378 9.3489
angles: 90.00 90.00 90.00
Fractional positions:
Sn 0.0000 0.0000 0.7500
Sn 0.5000 0.5000 0.7500
Sn 0.0000 0.0000 0.2500
Sn 0.5000 0.5000 0.2500
Ga 0.6222 0.1222 0.2500
Ga 0.6222 0.1222 0.7500
Ga 0.1222 0.3778 0.7500
Ga 0.8778 0.6222 0.2500
Ga 0.1222 0.3778 0.2500
Ga 0.3778 0.8778 0.2500
Ga 0.3778 0.8778 0.7500
Ga 0.8778 0.6222 0.7500
La 0.1738 0.6738 0.5000
La 0.6738 0.8262 0.5000
La 0.8262 0.3262 0.5000
La 0.1738 0.6738 0.0000
La 0.3262 0.1738 0.0000
La 0.6738 0.8262 0.0000
La 0.3262 0.1738 0.5000
La 0.8262 0.3262 0.0000

## Properties
Excess energy over the best structure of this formula in the dataset = 0 meV per atom
Volume = 26.6 A^3/atom
Space-group type = P4/mbm

ΔE_f list, top to bottom, in eV/atom: -0.214 -0.403 -0.419 -0.687
Total magnetic moment list, top to bottom, in μB per cell: 0.00 0.00 0.00 0.00